# 1
## PuCr4W (PBE)

Data for an optimized crystal structure of PuCr4W.

Symmetry   No. 216
Energy of formation from the pure elements   0.344 eV/atom

Cell lengths 4.973, 4.973, 4.973 Å; angles 60.00, 60.00, 60.00 degrees
Fractional coordinates of all 6 atoms:
Pu1 0.000 0.000 0.000
Cr1 0.376 0.376 0.376
Cr2 0.376 0.376 0.873
Cr3 0.376 0.873 0.376
Cr4 0.873 0.376 0.376
W1 0.750 0.750 0.750


# 2
## Pa3BeAs2O6 (PBE)

Data for an optimized crystal structure of Pa3BeAs2O6.

Symmetry   No. 12
ΔE_f (raw)   -2515 meV per atom

Cell lengths 6.814, 6.814, 6.735 Å; angles 108.09, 108.09, 69.24 degrees
Fractional coordinates of all 12 atoms:
Pa1 0.000 0.000 0.000
Pa2 0.000 0.500 0.500
Pa3 0.500 0.000 0.500
Be1 0.500 0.500 0.500
As1 0.105 0.105 0.656
As2 0.895 0.895 0.344
O1 0.059 0.674 0.814
O2 0.326 0.941 0.186
O3 0.371 0.371 0.504
O4 0.629 0.629 0.496
O5 0.674 0.059 0.814
O6 0.941 0.326 0.186


# 3
## Ta2Nb5Tc (PBE)

Data for an optimized crystal structure of Ta2Nb5Tc.

Symmetry   No. 55
Energy of formation from the pure elements   -0.063 eV/atom

Cell lengths 5.560, 11.053, 4.644 Å; angles 90.00, 90.00, 90.00 degrees
Fractional coordinates of all 16 atoms:
Ta1 0.155 0.112 0.000
Ta2 0.345 0.612 0.000
Ta3 0.655 0.388 0.000
Ta4 0.845 0.888 0.000
Nb1 0.000 0.500 0.500
Nb2 0.144 0.754 0.500
Nb3 0.157 0.372 0.000
Nb4 0.343 0.872 0.000
Nb5 0.356 0.254 0.500
Nb6 0.500 0.000 0.500
Nb7 0.644 0.746 0.500
Nb8 0.657 0.128 0.000
Nb9 0.843 0.628 0.000
Nb10 0.856 0.246 0.500
Tc1 0.000 0.000 0.500
Tc2 0.500 0.500 0.500


# 4
## MgTePd (PBE)

Data for an optimized crystal structure of MgTePd.

Symmetry   No. 4
ΔE_f (raw)   -571 meV per atom

Cell lengths 4.441, 7.746, 4.444 Å; angles 90.00, 119.93, 90.00 degrees
Fractional coordinates of all 6 atoms:
Mg1 0.000 0.000 0.001
Mg2 0.000 0.500 0.999
Te1 0.333 0.235 0.666
Te2 0.667 0.735 0.334
Pd1 0.333 0.889 0.668
Pd2 0.667 0.389 0.332


# 5
## NdTmZnHg (PBE)

Data for an optimized crystal structure of NdTmZnHg.

Symmetry   No. 216
Energy of formation from the pure elements   -0.371 eV/atom

Cell lengths 5.226, 5.226, 5.226 Å; angles 60.00, 60.00, 60.00 degrees
Fractional coordinates of all 4 atoms:
Nd1 0.000 0.000 0.000
Tm1 0.500 0.500 0.500
Zn1 0.250 0.250 0.250
Hg1 0.750 0.750 0.750


# 6
## CaLa12Co6 (PBE)

Data for an optimized crystal structure of CaLa12Co6.

Symmetry   No. 204
Energy of formation from the pure elements   -0.098 eV/atom

Cell lengths 8.915, 8.915, 8.915 Å; angles 109.47, 109.47, 109.47 degrees
Fractional coordinates of all 19 atoms:
Ca1 0.000 0.000 0.000
La1 0.123 0.318 0.804
La2 0.196 0.514 0.318
La3 0.196 0.877 0.682
La4 0.318 0.196 0.514
La5 0.318 0.804 0.123
La6 0.486 0.682 0.804
La7 0.514 0.318 0.196
La8 0.682 0.196 0.877
La9 0.682 0.804 0.486
La10 0.804 0.123 0.318
La11 0.804 0.486 0.682
La12 0.877 0.682 0.196
Co1 0.117 0.500 0.617
Co2 0.383 0.883 0.500
Co3 0.500 0.383 0.883
Co4 0.500 0.617 0.117
Co5 0.617 0.117 0.500
Co6 0.883 0.500 0.383


# 7
## LiSbOs4 (PBE)

Data for an optimized crystal structure of LiSbOs4.

Symmetry   No. 216
ΔE_f (raw)   675 meV per atom

Cell lengths 5.235, 5.235, 5.235 Å; angles 60.00, 60.00, 60.00 degrees
Fractional coordinates of all 6 atoms:
Li1 0.000 0.000 0.000
Sb1 0.750 0.750 0.750
Os1 0.375 0.375 0.375
Os2 0.375 0.375 0.876
Os3 0.375 0.876 0.375
Os4 0.876 0.375 0.375


# 8
## AcGa2Cu2 (PBE)

Data for an optimized crystal structure of AcGa2Cu2.

Symmetry   No. 129
Energy of formation from the pure elements   -0.394 eV/atom

Cell lengths 4.411, 4.411, 10.175 Å; angles 90.00, 90.00, 90.00 degrees
Fractional coordinates of all 10 atoms:
Ac1 0.250 0.250 0.245
Ac2 0.750 0.750 0.755
Ga1 0.250 0.250 0.877
Ga2 0.250 0.750 0.500
Ga3 0.750 0.250 0.500
Ga4 0.750 0.750 0.123
Cu1 0.250 0.250 0.629
Cu2 0.250 0.750 0.000
Cu3 0.750 0.250 0.000
Cu4 0.750 0.750 0.371


no.,raw total energy (eV per atom)
1,-10.62
2,-8.45
3,-10.62
4,-3.88
5,-3.07
6,-5.56
7,-7.82
8,-4.07